[1]
# UNb2Ag2S6 (PBE-GGA, optimized geometry)
# SG: No. 12
# Size of the total moment (μB/f.u.): 0.075
# E_form (uncorrected) (meV per atom): -821
# Crystal system: monoclinic
data_UNb2Ag2S6
_chemical_formula_sum 'U1 Nb2 Ag2 S6'
_cell_length_a 6.1578
_cell_length_b 6.1578
_cell_length_c 6.9914
_cell_angle_alpha 91.28
_cell_angle_beta 91.28
_cell_angle_gamma 118.41
_space_group_name_H-M_alt 'P 1'
_space_group_IT_number 1
_space_group_name_Hall 'P 1'
loop_
_atom_site_label
_atom_site_type_symbol
_atom_site_fract_x
_atom_site_fract_y
_atom_site_fract_z
_atom_site_occupancy
U1 U 0.0000 0.0000 0.0000 1
Nb1 Nb 0.3579 0.6421 0.0000 1
Nb2 Nb 0.6421 0.3579 0.0000 1
Ag1 Ag 0.1349 0.8651 0.5000 1
Ag2 Ag 0.8651 0.1349 0.5000 1
S1 S 0.0096 0.3685 0.2084 1
S2 S 0.3257 0.3257 0.7668 1
S3 S 0.3685 0.0096 0.2084 1
S4 S 0.6315 0.9904 0.7916 1
S5 S 0.6743 0.6743 0.2332 1
S6 S 0.9904 0.6315 0.7916 1


[2]
# ZrNb2Ag2S6 (PBE-GGA, optimized geometry)
# SG: No. 12
# Size of the total moment (μB/f.u.): 0.000
# E_form (uncorrected) (meV per atom): -867
# Crystal system: monoclinic
data_ZrNb2Ag2S6
_chemical_formula_sum 'Zr1 Nb2 Ag2 S6'
_cell_length_a 6.2524
_cell_length_b 6.2524
_cell_length_c 6.7638
_cell_angle_alpha 94.27
_cell_angle_beta 94.27
_cell_angle_gamma 120.92
_space_group_name_H-M_alt 'P 1'
_space_group_IT_number 1
_space_group_name_Hall 'P 1'
loop_
_atom_site_label
_atom_site_type_symbol
_atom_site_fract_x
_atom_site_fract_y
_atom_site_fract_z
_atom_site_occupancy
Zr1 Zr 0.0000 0.0000 0.0000 1
Nb1 Nb 0.3688 0.6312 0.0000 1
Nb2 Nb 0.6312 0.3688 0.0000 1
Ag1 Ag 0.3506 0.6494 0.5000 1
Ag2 Ag 0.6494 0.3506 0.5000 1
S1 S 0.0277 0.3775 0.2070 1
S2 S 0.2816 0.2816 0.7487 1
S3 S 0.3775 0.0277 0.2070 1
S4 S 0.6225 0.9723 0.7930 1
S5 S 0.7184 0.7184 0.2513 1
S6 S 0.9723 0.6225 0.7930 1


[3]
# Nb2AgSb2 (PBE-GGA, optimized geometry)
# SG: No. 127
# Size of the total moment (μB/f.u.): 0.000
# Excess energy over the best structure of this formula in the dataset (kJ/mol of atoms): 9.2
# E_form (uncorrected) (meV per atom): 73
# Crystal system: tetragonal
data_Nb2AgSb2
_chemical_formula_sum 'Nb4 Ag2 Sb4'
_cell_length_a 7.7481
_cell_length_b 7.7481
_cell_length_c 3.5015
_cell_angle_alpha 90.00
_cell_angle_beta 90.00
_cell_angle_gamma 90.00
_space_group_name_H-M_alt 'P 1'
_space_group_IT_number 1
_space_group_name_Hall 'P 1'
loop_
_atom_site_label
_atom_site_type_symbol
_atom_site_fract_x
_atom_site_fract_y
_atom_site_fract_z
_atom_site_occupancy
Nb1 Nb 0.1369 0.3631 0.0000 1
Nb2 Nb 0.3631 0.8631 0.0000 1
Nb3 Nb 0.6369 0.1369 0.0000 1
Nb4 Nb 0.8631 0.6369 0.0000 1
Ag1 Ag 0.0000 0.0000 0.5000 1
Ag2 Ag 0.5000 0.5000 0.5000 1
Sb1 Sb 0.1543 0.6543 0.5000 1
Sb2 Sb 0.3457 0.1543 0.5000 1
Sb3 Sb 0.6543 0.8457 0.5000 1
Sb4 Sb 0.8457 0.3457 0.5000 1


Number 1: energy -70.929 eV per cell, calculated density 5.930 g/cm3, volume 233 Å³/cell. Number 2: energy -68.697 eV per cell, calculated density 5.074 g/cm3, volume 224 Å³/cell. Number 3: energy -61.742 eV per cell, calculated density 8.487 g/cm3, volume 210 Å³/cell.